# GGA-PBE NdSmPd2, optimized geometry
# Distance to the lowest polymorph of the same formula in eV per atom: 0.068
# Formation energy in eV per atom: -0.7583
data_NdSmPd2
_cell_length_a 7.2124
_cell_length_b 7.2124
_cell_length_c 7.2124
_cell_angle_alpha 90.00
_cell_angle_beta 90.00
_cell_angle_gamma 90.00
_symmetry_space_group_name_H-M 'F m -3 m'
_symmetry_Int_Tables_number 225
_symmetry_space_group_name_Hall '-F 4 2 3'
loop_
_atom_site_label
_atom_site_fract_x
_atom_site_fract_y
_atom_site_fract_z
Nd1 0.0000 0.0000 0.0000
Sm1 0.0000 0.0000 0.5000
Pd1 0.2500 0.2500 0.2500